[1]
This record from the Alexandria database describes an optimized crystal structure of GaFe3N. The functional is GGA-PBEsol. Values from VASP.

The structure in Quantum ESPRESSO input format:
```
&SYSTEM
  ibrav = 0, nat = 5, ntyp = 3
/
ATOMIC_SPECIES
Ga 69.72 Ga.upf
Fe 55.84 Fe.upf
N 14.01 N.upf
ATOMIC_POSITIONS crystal
Ga 0.000 0.000 0.000
Fe 0.000 0.500 0.500
Fe 0.500 0.000 0.500
Fe 0.500 0.500 0.000
N 0.500 0.500 0.500
CELL_PARAMETERS angstrom
3.674 0.000 0.000
0.000 3.674 0.000
0.000 0.000 3.674
```

Results
ΔE_f (raw): -142 kJ/mol of formula units

[2]
This record from the Alexandria database describes an optimized crystal structure of Ga3FeN. The functional is GGA-PBEsol. Values from VASP.

The structure in Quantum ESPRESSO input format:
```
&SYSTEM
  ibrav = 0, nat = 5, ntyp = 3
/
ATOMIC_SPECIES
Ga 69.72 Ga.upf
Fe 55.84 Fe.upf
N 14.01 N.upf
ATOMIC_POSITIONS crystal
Ga 0.000 0.000 0.500
Ga 0.000 0.500 0.000
Ga 0.500 0.000 0.000
Fe 0.500 0.500 0.500
N 0.000 0.000 0.000
CELL_PARAMETERS angstrom
4.100 0.000 0.000
0.000 4.100 0.000
0.000 0.000 4.100
```

Results
ΔE_f (raw): 290 kJ/mol of formula units

[3]
This record from the Alexandria database describes an optimized crystal structure of GaFe7N2. The functional is GGA-PBEsol. Values from VASP.

The structure in Quantum ESPRESSO input format:
```
&SYSTEM
  ibrav = 0, nat = 10, ntyp = 3
/
ATOMIC_SPECIES
Ga 69.72 Ga.upf
Fe 55.84 Fe.upf
N 14.01 N.upf
ATOMIC_POSITIONS crystal
Ga 0.000 0.000 0.000
Fe 0.000 0.000 0.500
Fe 0.000 0.500 0.000
Fe 0.000 0.500 0.500
Fe 0.500 0.000 0.000
Fe 0.500 0.000 0.500
Fe 0.500 0.500 0.000
Fe 0.500 0.500 0.500
N 0.250 0.250 0.250
N 0.750 0.750 0.750
CELL_PARAMETERS angstrom
0.000 3.687 3.687
3.687 0.000 3.687
3.687 3.687 0.000
```

Results
ΔE_f (raw): -187 kJ/mol of formula units

[4]
This record from the Alexandria database describes an optimized crystal structure of GaFeS2N. The functional is GGA-PBEsol. Values from VASP.

The structure in Quantum ESPRESSO input format:
```
&SYSTEM
  ibrav = 0, nat = 5, ntyp = 4
/
ATOMIC_SPECIES
Ga 69.72 Ga.upf
Fe 55.84 Fe.upf
S 32.06 S.upf
N 14.01 N.upf
ATOMIC_POSITIONS crystal
Ga 0.000 0.000 0.000
Fe 0.500 0.500 0.500
S 0.000 0.500 0.500
S 0.500 0.000 0.500
N 0.500 0.500 0.000
CELL_PARAMETERS angstrom
4.615 0.000 0.000
0.000 4.615 0.000
0.000 0.000 3.355
```

Results
ΔE_f (raw): 68 kJ/mol of formula units

[5]
This record from the Alexandria database describes an optimized crystal structure of NbGaFe3. The functional is GGA-PBEsol. Values from VASP.

The structure in Quantum ESPRESSO input format:
```
&SYSTEM
  ibrav = 0, nat = 5, ntyp = 3
/
ATOMIC_SPECIES
Nb 92.91 Nb.upf
Ga 69.72 Ga.upf
Fe 55.84 Fe.upf
ATOMIC_POSITIONS crystal
Nb 0.000 0.000 0.000
Ga 0.500 0.500 0.500
Fe 0.000 0.000 0.500
Fe 0.000 0.500 0.000
Fe 0.500 0.000 0.000
CELL_PARAMETERS angstrom
4.448 0.000 0.000
0.000 4.448 0.000
0.000 0.000 4.448
```

Results
DFT formation energy: 1547 meV/atom

[6]
This record from the Alexandria database describes an optimized crystal structure of NbGa3Fe. The functional is GGA-PBEsol. Values from VASP.

The structure in Quantum ESPRESSO input format:
```
&SYSTEM
  ibrav = 0, nat = 5, ntyp = 3
/
ATOMIC_SPECIES
Nb 92.91 Nb.upf
Ga 69.72 Ga.upf
Fe 55.84 Fe.upf
ATOMIC_POSITIONS crystal
Nb 0.000 0.000 0.000
Ga 0.000 0.500 0.500
Ga 0.500 0.000 0.500
Ga 0.500 0.500 0.000
Fe 0.500 0.500 0.500
CELL_PARAMETERS angstrom
4.376 0.000 0.000
0.000 4.376 0.000
0.000 0.000 4.376
```

Results
DFT formation energy: 426 meV/atom